one) 8
Lattice="8.5758 0.0000 0.0000 0.0000 2.7093 0.0000 -0.7250 0.0000 4.7695" Properties=species:S:1:pos:R:3 comment="PBE CuSi2W, optimized geometry" crystal_system=monoclinic dos_ef_per_ev_fu=1.88 pbc="T T T"
Cu 0.0000 0.0000 0.0000
Cu 4.2879 1.3547 0.0000
Si 1.5628 0.0000 3.5622
Si 2.0001 1.3547 1.2073
Si 5.8507 1.3547 3.5622
Si 6.2879 0.0000 1.2073
W -0.3625 1.3547 2.3847
W 3.9254 0.0000 2.3847

two) 8
Lattice="3.4404 0.0000 0.0000 0.0000 4.0887 0.0000 0.0000 0.0000 7.6293" Properties=species:S:1:pos:R:3 comment="PBE CuSi2W, optimized geometry" crystal_system=orthorhombic dos_ef_per_ev_fu=1.55 pbc="T T T"
Cu 0.0000 0.0000 0.0000
Cu 1.7202 2.0443 3.8146
Si 0.0000 2.0443 1.9696
Si 0.0000 2.0443 5.6596
Si 1.7202 0.0000 1.8450
Si 1.7202 0.0000 5.7843
W 0.0000 0.0000 3.8146
W 1.7202 2.0443 0.0000

Which of them is the most stable? Correct choice: two).

one) 8
Lattice="3.4124 0.0000 0.0000 0.0000 4.3214 0.0000 0.0000 0.0000 7.7022" Properties=species:S:1:pos:R:3 comment="PBE CuSi2W, optimized geometry" crystal_system=orthorhombic dos_ef_per_ev_fu=2.28 pbc="T T T"
Cu 0.0000 0.0000 0.0000
Cu 1.7062 2.1607 0.0000
Si 0.0000 2.1607 1.9010
Si 0.0000 2.1607 5.8012
Si 1.7062 0.0000 1.9010
Si 1.7062 0.0000 5.8012
W 0.0000 0.0000 3.8511
W 1.7062 2.1607 3.8511

two) 4
Lattice="3.3144 0.0000 0.0000 0.0000 3.3144 0.0000 0.0000 0.0000 5.0384" Properties=species:S:1:pos:R:3 comment="PBE CuSi2W, optimized geometry" crystal_system=tetragonal dos_ef_per_ev_fu=2.58 pbc="T T T"
Cu 0.0000 0.0000 0.0000
Si 0.0000 0.0000 2.4326
Si 1.6572 1.6572 0.9737
W 1.6572 1.6572 3.4855

three) 4
Lattice="3.2539 0.0000 0.0000 0.0000 4.0429 0.0000 0.0000 0.0000 4.0987" Properties=species:S:1:pos:R:3 comment="PBE CuSi2W, optimized geometry" crystal_system=orthorhombic dos_ef_per_ev_fu=2.14 pbc="T T T"
Cu 0.0000 0.0000 0.0000
Si 1.6269 0.0000 2.0493
Si 1.6269 2.0214 0.0000
W 0.0000 2.0214 2.0493

Which of them is the most stable? Correct choice: two).

one) 10
Lattice="3.5909 0.0000 0.0000 0.0000 3.5909 0.0000 0.0000 0.0000 12.6877" Properties=species:S:1:pos:R:3 comment="PBE Cu2SiW2, optimized geometry" crystal_system=tetragonal dos_ef_per_ev_fu=3.11 pbc="T T T"
Cu 0.0000 0.0000 1.1675
Cu 0.0000 0.0000 11.5202
Cu 1.7954 1.7954 5.1763
Cu 1.7954 1.7954 7.5114
Si 0.0000 0.0000 6.3439
Si 1.7954 1.7954 0.0000
W 0.0000 1.7954 3.1719
W 0.0000 1.7954 9.5158
W 1.7954 0.0000 3.1719
W 1.7954 0.0000 9.5158

two) 10
Lattice="5.8499 0.0000 0.0000 0.0000 5.8499 0.0000 0.0000 0.0000 4.0504" Properties=species:S:1:pos:R:3 comment="PBE Cu2SiW2, optimized geometry" crystal_system=tetragonal dos_ef_per_ev_fu=2.40 pbc="T T T"
Cu 0.8084 2.1166 0.0000
Cu 2.1166 5.0416 0.0000
Cu 3.7334 0.8084 0.0000
Cu 5.0416 3.7334 0.0000
Si 0.0000 0.0000 0.0000
Si 2.9250 2.9250 0.0000
W 0.9753 3.9003 2.0252
W 1.9497 0.9753 2.0252
W 3.9003 4.8747 2.0252
W 4.8747 1.9497 2.0252

Which of them is the most stable? Correct choice: two).

one) 12
Lattice="5.6590 0.0000 0.0000 0.0000 5.6590 0.0000 0.0000 0.0000 5.6590" Properties=species:S:1:pos:R:3 comment="PBE ZnCuSi, optimized geometry" crystal_system=cubic dos_ef_per_ev_fu=1.21 pbc="T T T"
Zn 0.0000 0.0000 0.0000
Zn 0.0000 2.8295 2.8295
Zn 2.8295 0.0000 2.8295
Zn 2.8295 2.8295 0.0000
Cu 1.4148 1.4148 1.4148
Cu 1.4148 4.2443 4.2443
Cu 4.2443 1.4148 4.2443
Cu 4.2443 4.2443 1.4148
Si 0.0000 0.0000 2.8295
Si 0.0000 2.8295 0.0000
Si 2.8295 0.0000 0.0000
Si 2.8295 2.8295 2.8295

two) 3
Lattice="4.2891 0.0000 0.0000 -2.1445 3.7144 0.0000 0.0000 0.0000 2.6422" Properties=species:S:1:pos:R:3 comment="PBE ZnCuSi, optimized geometry" crystal_system=hexagonal dos_ef_per_ev_fu=0.75 pbc="T T T"
Zn 0.0000 0.0000 0.0000
Cu 2.1445 1.2381 1.3211
Si 0.0000 2.4763 1.3211

three) 6
Lattice="2.6994 0.0000 0.0000 0.0000 3.7399 0.0000 0.0000 0.0000 8.1457" Properties=species:S:1:pos:R:3 comment="PBE ZnCuSi, optimized geometry" crystal_system=orthorhombic dos_ef_per_ev_fu=0.88 pbc="T T T"
Zn 0.0000 0.0000 0.0000
Zn 1.3497 1.8699 4.0728
Cu 0.0000 0.0000 5.4295
Cu 1.3497 1.8699 1.3567
Si 0.0000 0.0000 2.6243
Si 1.3497 1.8699 6.6971

Which of them is the most stable? Correct choice: one).

one) 6
Lattice="2.7419 0.0000 0.0000 0.0000 2.7419 0.0000 0.0000 0.0000 11.0939" Properties=species:S:1:pos:R:3 comment="PBE ZnCuSi, optimized geometry" crystal_system=tetragonal dos_ef_per_ev_fu=1.18 pbc="T T T"
Zn 0.0000 0.0000 0.0000
Zn 1.3710 1.3710 5.5469
Cu 0.0000 0.0000 3.7427
Cu 1.3710 1.3710 9.2897
Si 0.0000 0.0000 7.5943
Si 1.3710 1.3710 2.0474

two) 3
Lattice="2.8300 0.0000 0.0000 -1.4150 2.4509 0.0000 0.0000 0.0000 5.9971" Properties=species:S:1:pos:R:3 comment="PBE ZnCuSi, optimized geometry" crystal_system=trigonal dos_ef_per_ev_fu=1.28 pbc="T T T"
Zn 0.0000 0.0000 0.0000
Cu 0.0000 1.6339 2.0211
Si 1.4150 0.8170 3.8837

Which of them is the most stable? Correct choice: two).

one) 5
Lattice="4.5533 0.0000 0.0000 0.0000 4.5533 0.0000 0.0000 0.0000 4.5533" Properties=species:S:1:pos:R:3 comment="PBE Zn3CuSi, optimized geometry" crystal_system=cubic dos_ef_per_ev_fu=1.55 pbc="T T T"
Zn 0.0000 0.0000 2.2766
Zn 0.0000 2.2766 0.0000
Zn 2.2766 0.0000 0.0000
Cu 0.0000 0.0000 0.0000
Si 2.2766 2.2766 2.2766

two) 5
Lattice="4.7015 0.0000 0.0000 0.0000 4.7015 0.0000 0.0000 0.0000 4.7015" Properties=species:S:1:pos:R:3 comment="PBE Zn3CuSi, optimized geometry" crystal_system=cubic dos_ef_per_ev_fu=2.15 pbc="T T T"
Zn 0.0000 0.0000 2.3508
Zn 0.0000 2.3508 0.0000
Zn 2.3508 0.0000 0.0000
Cu 2.3508 2.3508 2.3508
Si 0.0000 0.0000 0.0000

Which of them is the most stable? Correct choice: one).